Record 1
{
  "formula": "AuBr2",
  "functional": "PBE",
  "state": "relaxed",
  "lattice": [[1.171, 2.111, 6.502], [-5.026, -4.598, -1.301], [3.259, -3.741, 0.628]],
  "species": ["Au", "Au", "Br", "Br", "Br", "Br"],
  "frac_coords": [[0.333, 0.667, 0.250], [0.667, 0.333, 0.750], [0.000, 0.000, 0.000], [0.000, 0.000, 0.500], [0.333, 0.667, 0.750], [0.667, 0.333, 0.250]],
  "e_form_raw_ev_per_atom": 0.245,
  "magnetic_moment_mub_per_fu": 0.0,
  "final_energy_ev_per_atom": -1.9632
}


Record 2
{
  "formula": "AuBr3",
  "functional": "PBE",
  "state": "relaxed",
  "lattice": [[4.712, 0.000, 0.000], [0.000, 4.712, 0.000], [0.000, 0.000, 4.712]],
  "species": ["Au", "Br", "Br", "Br"],
  "frac_coords": [[0.000, 0.000, 0.000], [0.000, 0.500, 0.500], [0.500, 0.000, 0.500], [0.500, 0.500, 0.000]],
  "e_form_raw_ev_per_atom": 0.715,
  "magnetic_moment_mub_per_fu": 2.1,
  "final_energy_ev_per_atom": -1.3588
}


Record 3
{
  "formula": "AuBr",
  "functional": "PBE",
  "state": "relaxed",
  "lattice": [[6.977, -0.067, 0.000], [-5.784, 3.903, 0.000], [0.000, 0.000, 3.774]],
  "species": ["Au", "Au", "Br", "Br"],
  "frac_coords": [[0.579, 0.421, 0.750], [0.421, 0.579, 0.250], [0.867, 0.133, 0.750], [0.133, 0.867, 0.250]],
  "e_form_raw_ev_per_atom": 0.157,
  "magnetic_moment_mub_per_fu": 0.0,
  "final_energy_ev_per_atom": -2.3186
}


Record 4
{
  "formula": "Au7Br6",
  "functional": "PBE",
  "state": "relaxed",
  "lattice": [[-4.244, -2.960, 8.811], [-7.380, -5.749, 4.110], [-1.832, -8.062, 6.005]],
  "species": ["Au", "Au", "Au", "Au", "Au", "Au", "Au", "Br", "Br", "Br", "Br", "Br", "Br"],
  "frac_coords": [[0.435, 0.876, 0.435], [0.876, 0.435, 0.435], [0.435, 0.435, 0.876], [0.565, 0.124, 0.565], [0.565, 0.565, 0.124], [0.124, 0.565, 0.565], [0.500, 0.500, 0.500], [0.927, 0.927, 0.927], [0.073, 0.073, 0.073], [0.814, 0.814, 0.814], [0.186, 0.186, 0.186], [0.687, 0.687, 0.687], [0.313, 0.313, 0.313]],
  "e_form_raw_ev_per_atom": 0.164,
  "magnetic_moment_mub_per_fu": 0.0,
  "final_energy_ev_per_atom": -2.3733
}


Record 5
{
  "formula": "AuBr2",
  "functional": "PBE",
  "state": "relaxed",
  "lattice": [[2.253, -3.902, 0.000], [2.253, 3.902, 0.000], [0.000, 0.000, 9.819]],
  "species": ["Au", "Au", "Br", "Br", "Br", "Br"],
  "frac_coords": [[0.667, 0.333, 0.250], [0.333, 0.667, 0.750], [0.000, 0.000, 0.000], [0.000, 0.000, 0.500], [0.333, 0.667, 0.250], [0.667, 0.333, 0.750]],
  "e_form_raw_ev_per_atom": 0.354,
  "magnetic_moment_mub_per_fu": 0.9,
  "final_energy_ev_per_atom": -1.8534
}


Record 6
{
  "formula": "Au5Br",
  "functional": "PBE",
  "state": "relaxed",
  "lattice": [[-2.417, -5.960, 1.800], [-2.071, -6.254, -1.091], [4.936, -5.067, 1.106]],
  "species": ["Au", "Au", "Au", "Au", "Au", "Br"],
  "frac_coords": [[0.988, 0.988, 0.921], [0.695, 0.695, 0.612], [0.400, 0.400, 0.301], [0.344, 0.344, 0.736], [0.046, 0.046, 0.486], [0.694, 0.694, 0.111]],
  "e_form_raw_ev_per_atom": 0.181,
  "magnetic_moment_mub_per_fu": 0.0,
  "final_energy_ev_per_atom": -2.8288
}


Record 7
{
  "formula": "AuBr2",
  "functional": "PBE",
  "state": "relaxed",
  "lattice": [[-2.361, 2.649, 8.229], [2.361, -2.649, 8.229], [2.361, 2.649, -8.229]],
  "species": ["Au", "Au", "Br", "Br", "Br", "Br"],
  "frac_coords": [[0.154, 0.404, 0.750], [0.846, 0.596, 0.250], [0.907, 0.157, 0.750], [0.093, 0.843, 0.250], [0.333, 0.583, 0.750], [0.667, 0.417, 0.250]],
  "e_form_raw_ev_per_atom": -0.010,
  "magnetic_moment_mub_per_fu": 0.0,
  "final_energy_ev_per_atom": -2.2179
}


Record 8
{
  "formula": "AuBr3",
  "functional": "PBE",
  "state": "relaxed",
  "lattice": [[2.443, 0.000, 8.222], [-1.221, 2.116, 8.222], [-1.221, -2.116, 8.222]],
  "species": ["Au", "Br", "Br", "Br"],
  "frac_coords": [[0.500, 0.500, 0.500], [0.000, 0.000, 0.000], [0.893, 0.893, 0.893], [0.107, 0.107, 0.107]],
  "e_form_raw_ev_per_atom": 0.096,
  "magnetic_moment_mub_per_fu": 0.0,
  "final_energy_ev_per_atom": -1.9785
}


Record 9
{
  "formula": "Au5Br",
  "functional": "PBE",
  "state": "relaxed",
  "lattice": [[2.843, -4.924, 0.000], [2.843, 4.924, 0.000], [0.000, 0.000, 4.603]],
  "species": ["Au", "Au", "Au", "Au", "Au", "Br"],
  "frac_coords": [[0.333, 0.667, 0.000], [0.667, 0.333, 0.000], [0.500, 0.000, 0.500], [0.000, 0.500, 0.500], [0.500, 0.500, 0.500], [0.000, 0.000, 0.000]],
  "e_form_raw_ev_per_atom": 0.135,
  "magnetic_moment_mub_per_fu": 0.0,
  "final_energy_ev_per_atom": -2.8752
}


Record 10
{
  "formula": "AuBr",
  "functional": "PBE",
  "state": "relaxed",
  "lattice": [[-0.749, 1.988, -3.380], [2.337, -3.236, -0.064], [-18.724, -13.449, -3.761]],
  "species": ["Au", "Au", "Au", "Au", "Au", "Au", "Br", "Br", "Br", "Br", "Br", "Br"],
  "frac_coords": [[0.000, 0.000, 0.298], [0.000, 0.000, 0.702], [0.333, 0.667, 0.635], [0.333, 0.667, 0.966], [0.667, 0.333, 0.034], [0.667, 0.333, 0.365], [0.000, 0.000, 0.096], [0.000, 0.000, 0.904], [0.333, 0.667, 0.428], [0.333, 0.667, 0.235], [0.667, 0.333, 0.765], [0.667, 0.333, 0.572]],
  "e_form_raw_ev_per_atom": 0.005,
  "magnetic_moment_mub_per_fu": 0.0,
  "final_energy_ev_per_atom": -2.4697
}


Record 11
{
  "formula": "AuBr3",
  "functional": "PBE",
  "state": "relaxed",
  "lattice": [[7.779, -0.777, -0.457], [7.119, 3.230, -0.457], [7.119, 1.172, 3.045]],
  "species": ["Au", "Br", "Br", "Br"],
  "frac_coords": [[0.000, 0.000, 0.000], [0.732, 0.732, 0.732], [0.500, 0.500, 0.500], [0.268, 0.268, 0.268]],
  "e_form_raw_ev_per_atom": 0.194,
  "magnetic_moment_mub_per_fu": 0.0,
  "final_energy_ev_per_atom": -1.8797
}


Record 12
{
  "formula": "AuBr3",
  "functional": "PBE",
  "state": "relaxed",
  "lattice": [[-3.907, 5.376, 6.806], [-3.892, -7.242, -4.784], [1.273, -2.441, 2.659]],
  "species": ["Au", "Au", "Br", "Br", "Br", "Br", "Br", "Br"],
  "frac_coords": [[0.629, 0.371, 0.250], [0.371, 0.629, 0.750], [0.134, 0.866, 0.250], [0.866, 0.134, 0.750], [0.166, 0.422, 0.250], [0.834, 0.578, 0.750], [0.422, 0.166, 0.750], [0.578, 0.834, 0.250]],
  "e_form_raw_ev_per_atom": 0.007,
  "magnetic_moment_mub_per_fu": 0.0,
  "final_energy_ev_per_atom": -2.0675
}


Record 13
{
  "formula": "AuBr2",
  "functional": "PBE",
  "state": "relaxed",
  "lattice": [[6.759, 0.195, 0.000], [-5.784, 3.504, 0.000], [0.000, 0.000, 8.366]],
  "species": ["Au", "Au", "Br", "Br", "Br", "Br"],
  "frac_coords": [[0.040, 0.960, 0.000], [0.404, 0.596, 0.500], [0.405, 0.595, 0.000], [0.675, 0.325, 0.000], [0.770, 0.230, 0.500], [0.039, 0.961, 0.500]],
  "e_form_raw_ev_per_atom": -0.097,
  "magnetic_moment_mub_per_fu": 0.0,
  "final_energy_ev_per_atom": -2.3048
}


Record 14
{
  "formula": "AuBr3",
  "functional": "PBE",
  "state": "relaxed",
  "lattice": [[3.151, 0.000, 0.000], [0.000, 3.151, 0.000], [0.000, 0.000, 11.939]],
  "species": ["Au", "Br", "Br", "Br"],
  "frac_coords": [[0.000, 0.000, 0.000], [0.500, 0.500, 0.171], [0.000, 0.000, 0.500], [0.500, 0.500, 0.829]],
  "e_form_raw_ev_per_atom": 0.403,
  "magnetic_moment_mub_per_fu": 0.0,
  "final_energy_ev_per_atom": -1.6712
}


Record 15
{
  "formula": "Au2Br3",
  "functional": "PBE",
  "state": "relaxed",
  "lattice": [[-4.532, 0.914, -2.823], [-0.152, -3.104, 4.436], [-0.964, 4.202, 2.908]],
  "species": ["Au", "Au", "Br", "Br", "Br"],
  "frac_coords": [[0.667, 0.333, 0.000], [0.333, 0.667, 0.000], [0.000, 0.000, 0.000], [0.667, 0.333, 0.500], [0.333, 0.667, 0.500]],
  "e_form_raw_ev_per_atom": 0.238,
  "magnetic_moment_mub_per_fu": 0.0,
  "final_energy_ev_per_atom": -2.0764
}


Record 16
{
  "formula": "AuBr",
  "functional": "PBE",
  "state": "relaxed",
  "lattice": [[-1.414, -1.233, -3.806], [4.162, -0.023, 0.827], [-0.525, -6.967, 2.451]],
  "species": ["Au", "Au", "Br", "Br"],
  "frac_coords": [[0.000, 0.000, 0.031], [0.667, 0.333, 0.219], [0.000, 0.000, 0.414], [0.667, 0.333, 0.836]],
  "e_form_raw_ev_per_atom": 0.126,
  "magnetic_moment_mub_per_fu": 0.0,
  "final_energy_ev_per_atom": -2.3491
}


Record 17
{
  "formula": "AuBr",
  "functional": "PBE",
  "state": "relaxed",
  "lattice": [[2.984, 0.000, 0.000], [0.000, 2.984, 0.000], [0.000, 0.000, 11.101]],
  "species": ["Au", "Au", "Br", "Br"],
  "frac_coords": [[0.250, 0.250, 0.589], [0.750, 0.750, 0.411], [0.250, 0.250, 0.176], [0.750, 0.750, 0.824]],
  "e_form_raw_ev_per_atom": 0.323,
  "magnetic_moment_mub_per_fu": 0.0,
  "final_energy_ev_per_atom": -2.1525
}


Record 18
{
  "formula": "AuBr",
  "functional": "PBE",
  "state": "relaxed",
  "lattice": [[10.218, 0.000, 0.000], [0.000, 6.569, 0.000], [0.000, 0.000, 7.083]],
  "species": ["Au", "Au", "Au", "Au", "Au", "Au", "Br", "Br", "Br", "Br", "Br", "Br"],
  "frac_coords": [[0.854, 0.349, 0.231], [0.646, 0.651, 0.731], [0.146, 0.349, 0.231], [0.354, 0.651, 0.731], [0.000, 0.380, 0.898], [0.500, 0.620, 0.398], [0.793, 0.359, 0.681], [0.707, 0.641, 0.181], [0.207, 0.359, 0.681], [0.293, 0.641, 0.181], [0.000, 0.050, 0.280], [0.500, 0.950, 0.780]],
  "e_form_raw_ev_per_atom": -0.038,
  "magnetic_moment_mub_per_fu": 0.0,
  "final_energy_ev_per_atom": -2.5132
}


Record 19
{
  "formula": "AuBr",
  "functional": "PBE",
  "state": "relaxed",
  "lattice": [[6.993, 0.038, 0.000], [-0.908, 6.934, 0.000], [-3.042, -3.486, 5.244]],
  "species": ["Au", "Au", "Au", "Au", "Br", "Br", "Br", "Br"],
  "frac_coords": [[0.000, 0.000, 0.000], [0.000, 0.500, 0.500], [0.500, 0.000, 0.000], [0.000, 0.000, 0.500], [0.827, 0.577, 0.750], [0.577, 0.827, 0.250], [0.173, 0.423, 0.250], [0.423, 0.173, 0.750]],
  "e_form_raw_ev_per_atom": -0.101,
  "magnetic_moment_mub_per_fu": 0.0,
  "final_energy_ev_per_atom": -2.5758
}


Record 20
{
  "formula": "Au3Br5",
  "functional": "PBE",
  "state": "relaxed",
  "lattice": [[5.779, 0.686, -0.908], [0.206, 6.570, -1.347], [-2.282, -1.950, 7.507]],
  "species": ["Au", "Au", "Au", "Br", "Br", "Br", "Br", "Br"],
  "frac_coords": [[0.000, 0.000, 0.000], [0.500, 0.500, 0.500], [0.500, 0.500, 0.000], [0.672, 0.318, 0.248], [0.328, 0.682, 0.752], [0.240, 0.771, 0.188], [0.000, 0.000, 0.500], [0.760, 0.229, 0.812]],
  "e_form_raw_ev_per_atom": -0.020,
  "magnetic_moment_mub_per_fu": 0.0,
  "final_energy_ev_per_atom": -2.2945
}